(1)
Na3FeO3: optimized geometry, GGA+U.

Output
E_tot: -4.826 eV per atom

Lattice parameters (Å, degrees): 10.3496 10.3496 3.5122 90.00 90.00 120.00
Space group R3m (No. 160, hexagonal axes)
One atom of each set of equivalent atoms:
Na 0.0292 0.5146 0.0000 (multiplicity 9)
Fe 0.0000 0.0000 0.0413 (multiplicity 3)
O 0.1989 0.0995 0.1705 (multiplicity 9)

=====

(2)
W2SO: optimized geometry, GGA+U.

Output
E_tot: -5.237 eV per atom

Lattice parameters (Å, degrees): 5.911 5.911 5.911 90.00 90.00 90.00
Space group Fm-3m (No. 225)
One atom of each set of equivalent atoms:
W 0.250 0.250 0.250 (multiplicity 8)
S 0.000 0.000 0.000 (multiplicity 4)
O 0.000 0.000 0.500 (multiplicity 4)

=====

What are the energy above the lowest structure with this stoichiometry values for these records? In order: 0.148 0.423 eV/atom.